Here is HgB3Pt after structural relaxation from Alexandria. Energies are from PBE.

The structure belongs to space group Pm-3m (No. 221); the cell edges are 4.228, 4.228 and 4.228 Å and the angles 90.00°, 90.00° and 90.00°. The inequivalent atoms are Hg at (0.000, 0.000, 0.000), B at (0.000, 0.500, 0.500) and Pt at (0.500, 0.500, 0.500).

The density of states at the Fermi level is 3.47 states/eV/f.u. Its calculated volume is 76 Å³ per cell. As for the total energy: -20.7 eV/cell. The calculation puts the energy of formation at 1.130 eV/atom. The relative energy among the computed polymorphs is 0.0 meV per atom.